# CoPt2Pb2

A relaxed structure of CoPt2Pb2 (PBE-GGA, the Alexandria database).

Results
- raw total energy (eV per atom) = -4.931
- total magnetic moment (μB/f.u.) = 1.37
- ρ (g/cm³) = 13.3
- space-group type = I4/mmm (139)
- energy of formation (meV per atom) = 390
- E above lowest polymorph (meV per atom) = 195.8

Unit cell a=3.705 b=3.705 c=15.688 alpha=90.00 beta=90.00 gamma=90.00
Atoms (fractional coordinates):
Co1 0.000 0.000 0.000
Co2 0.500 0.500 0.500
Pt1 0.000 0.500 0.250
Pt2 0.000 0.500 0.750
Pt3 0.500 0.000 0.250
Pt4 0.500 0.000 0.750
Pb1 0.000 0.000 0.396
Pb2 0.000 0.000 0.604
Pb3 0.500 0.500 0.104
Pb4 0.500 0.500 0.896